[1]
# BaNpIr

Crystalline BaNpIr at its relaxed geometry (PBE-GGA, OQMD via LeMat-Bulk).

Unit cell a=5.036 b=5.036 c=5.036 alpha=60.00 beta=60.00 gamma=60.00
Fractional coordinates of all 3 atoms:
Ba (0.000, 0.000, 0.000)
Np (0.500, 0.500, 0.500)
Ir (0.750, 0.750, 0.750)

Computed properties:
* calculated volume: 90.3 Å³ per cell
* ΔE to the lowest computed polymorph: 0.0 meV per atom
* uncorrected energy: -7.495 eV per atom



[2]
# CdP2H10N2O8

Crystalline CdP2H10N2O8 at its relaxed geometry (PBE-GGA, OQMD via LeMat-Bulk).

Unit cell a=6.129 b=10.446 c=13.096 alpha=90.00 beta=103.27 gamma=90.00
Fractional coordinates of all 92 atoms:
Cd (0.037, 0.179, 0.149)
Cd (0.038, 0.321, 0.649)
Cd (0.962, 0.679, 0.351)
Cd (0.963, 0.821, 0.851)
P (0.055, 0.185, 0.417)
P (0.055, 0.315, 0.917)
P (0.271, 0.027, 0.607)
P (0.271, 0.473, 0.107)
P (0.729, 0.527, 0.893)
P (0.729, 0.973, 0.393)
P (0.945, 0.685, 0.083)
P (0.945, 0.815, 0.583)
H (0.088, 0.425, 0.402)
H (0.089, 0.075, 0.902)
H (0.109, 0.446, 0.283)
H (0.110, 0.054, 0.783)
H (0.317, 0.030, 0.435)
H (0.317, 0.470, 0.935)
H (0.323, 0.698, 0.113)
H (0.324, 0.802, 0.613)
H (0.382, 0.307, 0.371)
H (0.383, 0.193, 0.871)
H (0.386, 0.678, 0.874)
H (0.386, 0.822, 0.374)
H (0.398, 0.713, 0.466)
H (0.399, 0.787, 0.966)
H (0.410, 0.032, 0.234)
H (0.411, 0.468, 0.734)
H (0.427, 0.583, 0.608)
H (0.427, 0.917, 0.108)
H (0.491, 0.123, 0.150)
H (0.492, 0.377, 0.650)
H (0.508, 0.623, 0.350)
H (0.509, 0.877, 0.850)
H (0.573, 0.083, 0.892)
H (0.573, 0.417, 0.392)
H (0.589, 0.532, 0.266)
H (0.590, 0.968, 0.766)
H (0.601, 0.213, 0.034)
H (0.602, 0.287, 0.534)
H (0.614, 0.178, 0.626)
H (0.614, 0.322, 0.126)
H (0.617, 0.807, 0.129)
H (0.618, 0.693, 0.629)
H (0.676, 0.198, 0.387)
H (0.677, 0.302, 0.887)
H (0.683, 0.530, 0.065)
H (0.683, 0.970, 0.565)
H (0.890, 0.946, 0.217)
H (0.891, 0.554, 0.717)
H (0.911, 0.925, 0.098)
H (0.912, 0.575, 0.598)
N (0.203, 0.626, 0.113)
N (0.204, 0.874, 0.613)
N (0.223, 0.074, 0.482)
N (0.223, 0.426, 0.982)
N (0.777, 0.574, 0.018)
N (0.777, 0.926, 0.518)
N (0.796, 0.126, 0.387)
N (0.797, 0.374, 0.887)
O (0.046, 0.193, 0.980)
O (0.046, 0.307, 0.480)
O (0.123, 0.394, 0.160)
O (0.124, 0.106, 0.660)
O (0.127, 0.489, 0.352)
O (0.128, 0.011, 0.852)
O (0.146, 0.211, 0.321)
O (0.147, 0.289, 0.821)
O (0.345, 0.732, 0.388)
O (0.346, 0.768, 0.888)
O (0.371, 0.062, 0.159)
O (0.371, 0.438, 0.659)
O (0.462, 0.828, 0.090)
O (0.463, 0.672, 0.590)
O (0.475, 0.533, 0.851)
O (0.475, 0.967, 0.351)
O (0.525, 0.033, 0.649)
O (0.525, 0.467, 0.149)
O (0.537, 0.328, 0.410)
O (0.538, 0.172, 0.910)
O (0.629, 0.562, 0.341)
O (0.629, 0.938, 0.841)
O (0.654, 0.232, 0.112)
O (0.655, 0.268, 0.612)
O (0.853, 0.711, 0.179)
O (0.854, 0.789, 0.679)
O (0.872, 0.989, 0.148)
O (0.873, 0.511, 0.648)
O (0.876, 0.894, 0.340)
O (0.877, 0.606, 0.840)
O (0.954, 0.693, 0.520)
O (0.954, 0.807, 0.020)

Computed properties:
* calculated volume: 816.1 Å³ per cell
* uncorrected energy: -5.573 eV per atom